Record 1
This record from the Alexandria database describes an optimized crystal structure of LiHfNi3. The functional is PBE.

Structure (extended XYZ):
```
5
Lattice="4.635 0.000 0.000 0.000 4.635 0.000 0.000 0.000 4.635" Properties=species:S:1:pos:R:3 pbc="T T T"
Li 0.000 0.000 0.000
Hf 2.318 2.318 2.318
Ni 0.000 2.318 2.318
Ni 2.318 0.000 2.318
Ni 2.318 2.318 0.000
```

Calculated values
Space group: Pm-3m (221)
Calculated volume, Å³ per cell: 99.6
ΔE_f, eV per atom: 0.895
Excess energy over the best structure of this formula in the dataset, meV per atom: 741
Total energy, eV per atom: -4.95

***

Record 2
This record from the Alexandria database describes an optimized crystal structure of Ce12SiOs6. The functional is PBE.

Structure (extended XYZ):
```
19
Lattice="6.826 3.941 3.004 -6.826 3.941 3.004 0.000 -7.881 3.004" Properties=species:S:1:pos:R:3 pbc="T T T"
Ce -0.653 -2.271 1.498
Ce -1.640 1.701 1.498
Ce -3.006 -0.500 3.912
Ce 2.293 0.570 1.498
Ce -1.070 -2.853 5.101
Ce 1.936 -2.353 3.912
Ce -1.936 2.353 5.101
Ce 1.070 2.853 3.912
Ce -2.293 -0.570 7.514
Ce 3.006 0.500 5.101
Ce 1.640 -1.701 7.514
Ce 0.653 2.271 7.514
Si 0.000 0.000 4.506
Os -3.863 -3.186 4.773
Os -4.690 1.752 4.239
Os 0.828 -4.938 4.239
Os -0.828 4.938 4.773
Os 4.690 -1.752 4.773
Os 3.863 3.186 4.239
```

Calculated values
Space group: R-3 (148)
Calculated volume, Å³ per cell: 484.8
Raw formation energy, eV/atom: -0.09
Total energy, eV per atom: -7.67

***

Record 3
This record from the Alexandria database describes an optimized crystal structure of ZnNiB3. The functional is PBE.

Structure (extended XYZ):
```
5
Lattice="3.902 0.000 0.000 0.000 3.902 0.000 0.000 0.000 3.902" Properties=species:S:1:pos:R:3 pbc="T T T"
Zn 0.000 0.000 0.000
Ni 1.951 1.951 1.951
B 0.000 0.000 1.951
B 0.000 1.951 0.000
B 1.951 0.000 0.000
```

Calculated values
Space group: Pm-3m (221)
Calculated volume, Å³ per cell: 59.4
ΔE_f, eV per atom: 2.020
Excess energy over the best structure of this formula in the dataset, meV per atom: 918
Total energy, eV per atom: -3.40

***

Question: Among the records above, which one has the highest calculated volume?
Answer: Ce12SiOs6

***

Question: Which of these has the highest total energy?
Answer: ZnNiB3

***

Question: Look up the calculated volume of the second one.
Answer: 484.8 Å³ per cell

***

Question: Look up the total energy of the first one.
Answer: -4.95 eV per atom